[1]
The following is a DFT calculation (GGA-PBE) of a relaxed Eu2MgGa3 crystal.

Lattice parameters (Å, degrees): 5.982 5.982 7.667 50.69 50.69 46.38
Sites, in units of the cell vectors:
Ga  0.669  0.669  0.400
Ga  0.655  0.655  0.795
Ga  0.339  0.339  0.212
Eu  0.046  0.046  0.200
Eu  0.955  0.955  0.796
Mg  0.336  0.336  0.596

Summary:
ρ ... 6.20 g/cm3
E_form ... -0.45 eV per atom
E_tot ... -5.651 eV/atom

[2]
The following is a DFT calculation (GGA-PBE) of a relaxed Eu2MgGa crystal.

Lattice parameters (Å, degrees): 3.817 3.817 8.043 90.00 90.00 90.00
Sites, in units of the cell vectors:
Eu  0.000  0.000  0.222
Eu  0.000  0.000  0.778
Ga  0.500  0.500  0.000
Mg  0.500  0.500  0.500

Summary:
ρ ... 5.64 g/cm3
E_form ... -0.29 eV per atom
E_tot ... -6.581 eV/atom

> Which value of E_tot does entry 2 give?

-6.581 eV/atom

> E_form of number 1 (Eu2MgGa3)?

-0.45 eV per atom

> Number 1 is which compound?

Eu2MgGa3